1.
Ag2PRh: PBEsol geometry, SCAN.

Lattice parameters (Å, degrees): 2.9723 4.2746 4.7159 90.00 90.00 90.00
Space group Pmmm (No. 47)
Symmetry-distinct sites (fractional):
1 Ag 0.0000 0.0000 0.0000 [1 per cell]
2 Ag 0.5000 0.5000 0.0000 [1 per cell]
3 P 0.0000 0.5000 0.5000 [1 per cell]
4 Rh 0.5000 0.0000 0.5000 [1 per cell]

Values from the calculation:
The value obtained for the density of states at the Fermi level is 2.383 states/eV/cell. The total energy is -26.498 eV/atom. The value obtained for the spin magnetization is 0.00 μB/f.u.

---

2.
CuTcRh2: PBEsol geometry, SCAN.

Lattice parameters (Å, degrees): 2.7841 4.3980 8.5890 90.00 90.00 90.00
Space group Immm (No. 71)
Symmetry-distinct sites (fractional):
1 Cu 0.0000 0.0000 0.0000 [2 per cell]
2 Tc 0.0000 0.0000 0.5000 [2 per cell]
3 Rh 0.0000 0.5000 0.2599 [4 per cell]

Values from the calculation:
The value obtained for the density of states at the Fermi level is 6.833 states/eV/cell. The energy above the most stable polymorph in this dataset comes out at 247 meV per atom. The total energy is -29.276 eV/atom. The value obtained for the spin magnetization is 0.00 μB/f.u.

---

Quick rundown of E_form, same order as above: 0.228, 0.175 eV/atom